(P)
A plane-wave DFT calculation with GGA-PBE was carried out for a geometry-optimized Al2SeBr structure.

```
Al2SeBr
1.0
4.9620 0.0000 0.0000
0.0000 4.9620 0.0000
0.0000 0.0000 3.5177
Al Se Br
2 1 1
Cartesian
0.0000 2.4810 0.0000
2.4810 0.0000 0.0000
0.0000 0.0000 1.7589
2.4810 2.4810 1.7589
```

Computed properties:
space-group type = P4/mmm, No. 123
magnetic moment = 0.00 Bohr magnetons per cell


(Q)
A plane-wave DFT calculation with GGA-PBE was carried out for a geometry-optimized Al2SeBr structure.

```
Al2SeBr
1.0
-1.7427 3.9000 4.5633
1.7427 -3.9000 4.5633
1.7427 3.9000 -4.5633
Al Se Br
2 1 1
Cartesian
0.0000 0.0000 0.0000
0.0000 3.9000 2.3722
1.7427 0.0000 1.5913
0.0000 0.0000 5.0779
```

Computed properties:
space-group type = Imm2, No. 44
magnetic moment = 0.00 Bohr magnetons per cell


Energy comparison, zero being the most stable, in kJ/mol of atoms: (P) 23.5; (Q) 0.0.


(P)
A plane-wave DFT calculation with GGA-PBE was carried out for a geometry-optimized Al2SeBr structure.

```
Al2SeBr
1.0
3.8328 0.0000 0.0000
0.0000 3.9359 0.0000
0.0000 0.0000 6.7124
Al Se Br
2 1 1
Cartesian
0.0000 0.0000 0.0000
1.9164 0.0000 3.3562
0.0000 1.9679 3.3562
1.9164 1.9679 0.0000
```

Computed properties:
space-group type = Pmmm, No. 47
magnetic moment = 0.00 Bohr magnetons per cell


(Q)
A plane-wave DFT calculation with GGA-PBE was carried out for a geometry-optimized Al2SeBr structure.

```
Al2SeBr
1.0
-1.8302 3.2820 4.0517
1.8302 -3.2820 4.0517
1.8302 3.2820 -4.0517
Al Se Br
2 1 1
Cartesian
0.0000 0.0000 1.8637
0.0000 0.0000 6.2396
1.8302 0.0000 0.0000
0.0000 3.2820 0.0000
```

Computed properties:
space-group type = Immm, No. 71
magnetic moment = 0.00 Bohr magnetons per cell


(R)
A plane-wave DFT calculation with GGA-PBE was carried out for a geometry-optimized Al2SeBr structure.

```
Al2SeBr
1.0
0.0000 3.5488 3.5488
3.5488 0.0000 3.5488
3.5488 3.5488 0.0000
Al Se Br
2 1 1
Cartesian
0.0000 0.0000 0.0000
1.7744 1.7744 1.7744
3.5488 3.5488 3.5488
5.3232 5.3232 5.3232
```

Computed properties:
space-group type = F-43m, No. 216
magnetic moment = 0.00 Bohr magnetons per cell


Energy comparison, zero being the most stable, in kJ/mol of atoms: (P) 2.1; (Q) 0.0; (R) 33.1.


(P)
A plane-wave DFT calculation with GGA-PBE was carried out for a geometry-optimized Al2SeBr structure.

```
Al2SeBr
1.0
4.0788 0.0000 0.0000
0.0000 4.0919 0.0000
0.0000 0.0000 5.8127
Al Se Br
2 1 1
Cartesian
0.0000 0.0000 0.0000
2.0394 2.0460 2.8251
2.0394 2.0460 0.0176
0.0000 0.0000 2.8980
```

Computed properties:
space-group type = Pmm2, No. 25
magnetic moment = 0.00 Bohr magnetons per cell


(Q)
A plane-wave DFT calculation with GGA-PBE was carried out for a geometry-optimized Al2SeBr structure.

```
Al2SeBr
1.0
-1.9445 1.9445 6.7960
1.9445 -1.9445 6.7960
1.9445 1.9445 -6.7960
Al Se Br
2 1 1
Cartesian
0.0000 0.0000 0.0000
0.0000 1.9445 3.3980
0.0000 0.0000 6.7960
1.9445 0.0000 3.3980
```

Computed properties:
space-group type = I-4m2, No. 119
magnetic moment = 0.00 Bohr magnetons per cell


(R)
A plane-wave DFT calculation with GGA-PBE was carried out for a geometry-optimized Al2SeBr structure.

```
Al2SeBr
1.0
3.3801 0.0000 0.0000
0.0000 3.3801 0.0000
0.0000 0.0000 8.9984
Al Se Br
2 1 1
Cartesian
0.0000 0.0000 0.0000
1.6901 1.6901 2.5212
1.6901 1.6901 7.9865
0.0000 0.0000 4.1470
```

Computed properties:
space-group type = P4mm, No. 99
magnetic moment = 0.00 Bohr magnetons per cell


(S)
A plane-wave DFT calculation with GGA-PBE was carried out for a geometry-optimized Al2SeBr structure.

```
Al2SeBr
1.0
5.5700 -1.7727 0.0000
5.5700 1.7727 0.0000
-1.3801 0.0000 5.6290
Al Se Br
2 1 1
Cartesian
0.0000 0.0000 0.0000
6.1811 0.0000 4.8319
2.2984 0.0000 5.5976
6.3470 0.0000 2.3882
```

Computed properties:
space-group type = Cm, No. 8
magnetic moment = 0.00 Bohr magnetons per cell


Energy comparison, zero being the most stable, in kJ/mol of atoms: (P) 25.4; (Q) 36.1; (R) 20.7; (S) 0.0.


(P)
A plane-wave DFT calculation with GGA-PBE was carried out for a geometry-optimized AlSiSe2Br structure.

```
AlSiSe2Br
1.0
4.9686 0.0000 0.0000
0.0000 4.9686 0.0000
0.0000 0.0000 4.8622
Al Si Se Br
1 1 2 1
Cartesian
0.0000 0.0000 0.0000
2.4843 2.4843 2.4311
0.0000 2.4843 0.0000
2.4843 0.0000 0.0000
0.0000 0.0000 2.4311
```

Computed properties:
space-group type = P4/mmm, No. 123
magnetic moment = 0.00 Bohr magnetons per cell


(Q)
A plane-wave DFT calculation with GGA-PBE was carried out for a geometry-optimized AlSiSe2Br structure.

```
AlSiSe2Br
1.0
4.8580 0.0000 0.0000
0.0000 4.8580 0.0000
0.0000 0.0000 5.2630
Al Si Se Br
1 1 2 1
Cartesian
0.0000 0.0000 0.0000
2.4290 2.4290 2.6315
0.0000 2.4290 2.6315
2.4290 0.0000 2.6315
2.4290 2.4290 0.0000
```

Computed properties:
space-group type = P4/mmm, No. 123
magnetic moment = 0.00 Bohr magnetons per cell


Energy comparison, zero being the most stable, in kJ/mol of atoms: (P) 3.2; (Q) 0.0.


(P)
A plane-wave DFT calculation with GGA-PBE was carried out for a geometry-optimized AlSiSeBr2 structure.

```
AlSiSeBr2
1.0
4.9840 0.0000 0.0000
0.0000 4.9840 0.0000
0.0000 0.0000 5.1151
Al Si Se Br
1 1 1 2
Cartesian
0.0000 0.0000 0.0000
2.4920 2.4920 2.5575
0.0000 0.0000 2.5575
0.0000 2.4920 0.0000
2.4920 0.0000 0.0000
```

Computed properties:
space-group type = P4/mmm, No. 123
magnetic moment = 0.54 Bohr magnetons per cell


(Q)
A plane-wave DFT calculation with GGA-PBE was carried out for a geometry-optimized AlSiSeBr2 structure.

```
AlSiSeBr2
1.0
5.2332 0.0000 0.0000
0.0000 5.2332 0.0000
0.0000 0.0000 4.9117
Al Si Se Br
1 1 1 2
Cartesian
0.0000 0.0000 0.0000
2.6166 2.6166 2.4559
2.6166 2.6166 0.0000
0.0000 2.6166 2.4559
2.6166 0.0000 2.4559
```

Computed properties:
space-group type = P4/mmm, No. 123
magnetic moment = 0.00 Bohr magnetons per cell


Energy comparison, zero being the most stable, in kJ/mol of atoms: (P) 7.3; (Q) 0.0.


(P)
A plane-wave DFT calculation with GGA-PBE was carried out for a geometry-optimized AlSnSeBr2 structure.

```
AlSnSeBr2
1.0
5.0892 0.0000 0.0000
0.0000 5.0892 0.0000
0.0000 0.0000 5.1193
Al Sn Se Br
1 1 1 2
Cartesian
0.0000 0.0000 0.0000
2.5446 2.5446 2.5596
0.0000 0.0000 2.5596
0.0000 2.5446 0.0000
2.5446 0.0000 0.0000
```

Computed properties:
space-group type = P4/mmm, No. 123
magnetic moment = 0.00 Bohr magnetons per cell


(Q)
A plane-wave DFT calculation with GGA-PBE was carried out for a geometry-optimized AlSnSeBr2 structure.

```
AlSnSeBr2
1.0
5.6704 0.0000 0.0000
0.0000 5.6704 0.0000
0.0000 0.0000 5.2808
Al Sn Se Br
1 1 1 2
Cartesian
0.0000 0.0000 0.0000
2.8352 2.8352 2.6404
2.8352 2.8352 0.0000
0.0000 2.8352 2.6404
2.8352 0.0000 2.6404
```

Computed properties:
space-group type = P4/mmm, No. 123
magnetic moment = 0.00 Bohr magnetons per cell


Energy comparison, zero being the most stable, in kJ/mol of atoms: (P) 0.0; (Q) 22.6.


(P)
A plane-wave DFT calculation with GGA-PBE was carried out for a geometry-optimized AlSnSe2Br structure.

```
AlSnSe2Br
1.0
5.2842 0.0000 0.0000
0.0000 5.2842 0.0000
0.0000 0.0000 5.6660
Al Sn Se Br
1 1 2 1
Cartesian
0.0000 0.0000 0.0000
2.6421 2.6421 2.8330
0.0000 2.6421 2.8330
2.6421 0.0000 2.8330
2.6421 2.6421 0.0000
```

Computed properties:
space-group type = P4/mmm, No. 123
magnetic moment = 0.00 Bohr magnetons per cell


(Q)
A plane-wave DFT calculation with GGA-PBE was carried out for a geometry-optimized AlSnSe2Br structure.

```
AlSnSe2Br
1.0
5.0368 0.0000 0.0000
0.0000 5.0368 0.0000
0.0000 0.0000 4.9351
Al Sn Se Br
1 1 2 1
Cartesian
0.0000 0.0000 0.0000
2.5184 2.5184 2.4675
0.0000 2.5184 0.0000
2.5184 0.0000 0.0000
0.0000 0.0000 2.4675
```

Computed properties:
space-group type = P4/mmm, No. 123
magnetic moment = 0.00 Bohr magnetons per cell


Energy comparison, zero being the most stable, in kJ/mol of atoms: (P) 40.9; (Q) 0.0.


(P)
A plane-wave DFT calculation with GGA-PBE was carried out for a geometry-optimized SrAlSe2Br structure.

```
SrAlSe2Br
1.0
5.0396 0.0000 0.0000
0.0000 5.0396 0.0000
0.0000 0.0000 5.1467
Sr Al Se Br
1 1 2 1
Cartesian
0.0000 0.0000 0.0000
2.5198 2.5198 2.5734
0.0000 2.5198 2.5734
2.5198 0.0000 2.5734
2.5198 2.5198 0.0000
```

Computed properties:
space-group type = P4/mmm, No. 123
magnetic moment = 0.00 Bohr magnetons per cell


(Q)
A plane-wave DFT calculation with GGA-PBE was carried out for a geometry-optimized SrAlSe2Br structure.

```
SrAlSe2Br
1.0
5.9323 0.0000 0.0000
0.0000 5.9323 0.0000
0.0000 0.0000 5.8911
Sr Al Se Br
1 1 2 1
Cartesian
0.0000 0.0000 0.0000
2.9662 2.9662 2.9455
0.0000 2.9662 0.0000
2.9662 0.0000 0.0000
0.0000 0.0000 2.9455
```

Computed properties:
space-group type = P4/mmm, No. 123
magnetic moment = 2.02 Bohr magnetons per cell


Energy comparison, zero being the most stable, in kJ/mol of atoms: (P) 0.0; (Q) 88.0.


(P)
A plane-wave DFT calculation with GGA-PBE was carried out for a geometry-optimized SrAlSeBr2 structure.

```
SrAlSeBr2
1.0
5.8959 0.0000 0.0000
0.0000 5.8959 0.0000
0.0000 0.0000 6.0475
Sr Al Se Br
1 1 1 2
Cartesian
0.0000 0.0000 0.0000
2.9480 2.9480 3.0237
0.0000 0.0000 3.0237
0.0000 2.9480 0.0000
2.9480 0.0000 0.0000
```

Computed properties:
space-group type = P4/mmm, No. 123
magnetic moment = 1.01 Bohr magnetons per cell


(Q)
A plane-wave DFT calculation with GGA-PBE was carried out for a geometry-optimized SrAlSeBr2 structure.

```
SrAlSeBr2
1.0
5.2205 0.0000 0.0000
0.0000 5.2205 0.0000
0.0000 0.0000 5.2159
Sr Al Se Br
1 1 1 2
Cartesian
0.0000 0.0000 0.0000
2.6102 2.6102 2.6079
2.6102 2.6102 0.0000
0.0000 2.6102 2.6079
2.6102 0.0000 2.6079
```

Computed properties:
space-group type = P4/mmm, No. 123
magnetic moment = 0.00 Bohr magnetons per cell


Energy comparison, zero being the most stable, in kJ/mol of atoms: (P) 44.2; (Q) 0.0.


(P)
A plane-wave DFT calculation with GGA-PBE was carried out for a geometry-optimized TaAlSeBr2 structure.

```
TaAlSeBr2
1.0
5.2115 0.0000 0.0000
0.0000 5.2115 0.0000
0.0000 0.0000 5.0596
Ta Al Se Br
1 1 1 2
Cartesian
0.0000 0.0000 0.0000
2.6058 2.6058 2.5298
0.0000 0.0000 2.5298
0.0000 2.6058 0.0000
2.6058 0.0000 0.0000
```

Computed properties:
space-group type = P4/mmm, No. 123
magnetic moment = 0.48 Bohr magnetons per cell


(Q)
A plane-wave DFT calculation with GGA-PBE was carried out for a geometry-optimized TaAlSeBr2 structure.

```
TaAlSeBr2
1.0
4.9331 0.0000 0.0000
0.0000 4.9331 0.0000
0.0000 0.0000 5.0553
Ta Al Se Br
1 1 1 2
Cartesian
0.0000 0.0000 0.0000
2.4666 2.4666 2.5276
2.4666 2.4666 0.0000
0.0000 2.4666 2.5276
2.4666 0.0000 2.5276
```

Computed properties:
space-group type = P4/mmm, No. 123
magnetic moment = 3.29 Bohr magnetons per cell


Energy comparison, zero being the most stable, in kJ/mol of atoms: (P) 0.0; (Q) 61.6.


(P)
A plane-wave DFT calculation with GGA-PBE was carried out for a geometry-optimized AlTeSeBr2 structure.

```
AlTeSeBr2
1.0
4.9127 0.0000 0.0000
0.0000 4.9127 0.0000
0.0000 0.0000 5.4613
Al Te Se Br
1 1 1 2
Cartesian
0.0000 0.0000 0.0000
2.4564 2.4564 2.7307
0.0000 0.0000 2.7307
0.0000 2.4564 0.0000
2.4564 0.0000 0.0000
```

Computed properties:
space-group type = P4/mmm, No. 123
magnetic moment = 0.92 Bohr magnetons per cell


(Q)
A plane-wave DFT calculation with GGA-PBE was carried out for a geometry-optimized AlTeSeBr2 structure.

```
AlTeSeBr2
1.0
5.6258 0.0000 0.0000
0.0000 5.6258 0.0000
0.0000 0.0000 5.5081
Al Te Se Br
1 1 1 2
Cartesian
0.0000 0.0000 0.0000
2.8129 2.8129 2.7541
2.8129 2.8129 0.0000
0.0000 2.8129 2.7541
2.8129 0.0000 2.7541
```

Computed properties:
space-group type = P4/mmm, No. 123
magnetic moment = 0.00 Bohr magnetons per cell


Energy comparison, zero being the most stable, in kJ/mol of atoms: (P) 0.0; (Q) 21.9.


(P)
A plane-wave DFT calculation with GGA-PBE was carried out for a geometry-optimized TiAlSeBr2 structure.

```
TiAlSeBr2
1.0
5.2488 0.0000 0.0000
0.0000 5.2488 0.0000
0.0000 0.0000 4.9770
Ti Al Se Br
1 1 1 2
Cartesian
0.0000 0.0000 0.0000
2.6244 2.6244 2.4885
0.0000 0.0000 2.4885
0.0000 2.6244 0.0000
2.6244 0.0000 0.0000
```

Computed properties:
space-group type = P4/mmm, No. 123
magnetic moment = 0.99 Bohr magnetons per cell


(Q)
A plane-wave DFT calculation with GGA-PBE was carried out for a geometry-optimized TiAlSeBr2 structure.

```
TiAlSeBr2
1.0
5.0414 0.0000 0.0000
0.0000 5.0414 0.0000
0.0000 0.0000 5.0583
Ti Al Se Br
1 1 1 2
Cartesian
0.0000 0.0000 0.0000
2.5207 2.5207 2.5292
2.5207 2.5207 0.0000
0.0000 2.5207 2.5292
2.5207 0.0000 2.5292
```

Computed properties:
space-group type = P4/mmm, No. 123
magnetic moment = 2.46 Bohr magnetons per cell


Energy comparison, zero being the most stable, in kJ/mol of atoms: (P) 0.0; (Q) 42.6.